<A>
A geometry-optimized ReRuPt2 structure. Source: Alexandria via LeMat-Bulk, functional PBEsol.

Values from the calculation:
V in Å³/f.u.: 57.4
Symmetry: Cm
Total magnetic moment in μB per cell: 0.00

Cell lengths 4.7363, 4.7363, 4.7415 Å; angles 99.28, 99.28, 33.20 degrees
Fractional positions:
Re: 0.0000 0.0000 0.0000
Ru: 0.2565 0.2565 0.7684
Pt: 0.5064 0.5064 0.5112
Pt: 0.7498 0.7498 0.2531

<B>
A geometry-optimized ReRuPt2 structure. Source: Alexandria via LeMat-Bulk, functional PBEsol.

Values from the calculation:
V in Å³/f.u.: 57.5
Symmetry: Pmm2
Total magnetic moment in μB per cell: 0.00

Cell lengths 2.7159, 3.8487, 5.5034 Å; angles 90.00, 90.00, 90.00 degrees
Fractional positions:
Re: 0.0000 0.0000 0.0000
Ru: 0.5000 0.5000 0.2269
Pt: 0.0000 0.0000 0.4837
Pt: 0.5000 0.5000 0.7445

Pick <B>: it beats the second-best structure by 3.1 kJ/mol of atoms.

<A>
A geometry-optimized ReRuPt2 structure. Source: Alexandria via LeMat-Bulk, functional PBEsol.

Values from the calculation:
V in Å³/f.u.: 57.7
Symmetry: P4mm
Total magnetic moment in μB per cell: 0.00

Cell lengths 2.7242, 2.7242, 7.7783 Å; angles 90.00, 90.00, 90.00 degrees
Fractional positions:
Re: 0.0000 0.0000 0.0000
Ru: 0.5000 0.5000 0.2263
Pt: 0.0000 0.0000 0.4811
Pt: 0.5000 0.5000 0.7490

<B>
A geometry-optimized ReRuPt2 structure. Source: Alexandria via LeMat-Bulk, functional PBEsol.

Values from the calculation:
V in Å³/f.u.: 57.8
Symmetry: R3m
Total magnetic moment in μB per cell: 0.00

Cell lengths 9.1451, 9.1451, 9.1451 Å; angles 17.12, 17.12, 17.12 degrees
Fractional positions:
Re: 0.0000 0.0000 0.0000
Ru: 0.7439 0.7439 0.7439
Pt: 0.2495 0.2495 0.2495
Pt: 0.4951 0.4951 0.4951

<C>
A geometry-optimized ReRuPt2 structure. Source: Alexandria via LeMat-Bulk, functional PBEsol.

Values from the calculation:
V in Å³/f.u.: 57.3
Symmetry: I-4m2
Total magnetic moment in μB per cell: 0.00

Cell lengths 4.7071, 4.7071, 4.7071 Å; angles 131.48, 131.48, 71.06 degrees
Fractional positions:
Re: 0.0000 0.0000 0.0000
Ru: 0.7500 0.2500 0.5000
Pt: 0.2500 0.7500 0.5000
Pt: 0.5000 0.5000 0.0000

Pick <A>: it beats the second-best structure by 2.9 kJ/mol of atoms.

<A>
A geometry-optimized ReRuPt structure. Source: Alexandria via LeMat-Bulk, functional PBEsol.

Values from the calculation:
V in Å³/f.u.: 42.9
Symmetry: I4mm
Total magnetic moment in μB per cell: 0.00

Cell lengths 6.0872, 6.0872, 6.0872 Å; angles 154.13, 154.13, 36.91 degrees
Fractional positions:
Re: 0.0000 0.0000 0.0000
Ru: 0.6508 0.6508 0.0000
Pt: 0.3284 0.3284 0.0000

<B>
A geometry-optimized ReRuPt structure. Source: Alexandria via LeMat-Bulk, functional PBEsol.

Values from the calculation:
V in Å³/f.u.: 42.9
Symmetry: P3m1
Total magnetic moment in μB per cell: 0.00

Cell lengths 2.7197, 2.7197, 6.7030 Å; angles 90.00, 90.00, 120.00 degrees
Fractional positions:
Re: 0.0000 0.0000 0.0000
Ru: 0.3333 0.6667 0.6911
Pt: 0.6667 0.3333 0.3448

<C>
A geometry-optimized ReRuPt structure. Source: Alexandria via LeMat-Bulk, functional PBEsol.

Values from the calculation:
V in Å³/f.u.: 50.4
Symmetry: F-43m
Total magnetic moment in μB per cell: 0.00

Cell lengths 4.1475, 4.1475, 4.1475 Å; angles 60.00, 60.00, 60.00 degrees
Fractional positions:
Re: 0.0000 0.0000 0.0000
Ru: 0.7500 0.7500 0.7500
Pt: 0.5000 0.5000 0.5000

Pick <A>: it beats the second-best structure by 2.0 kJ/mol of atoms.

<A>
A geometry-optimized ReSb2TePt structure. Source: Alexandria via LeMat-Bulk, functional PBEsol.

Values from the calculation:
V in Å³/f.u.: 128.8
Symmetry: P4/mmm
Total magnetic moment in μB per cell: 0.00

Cell lengths 5.0584, 5.0584, 5.0326 Å; angles 90.00, 90.00, 90.00 degrees
Fractional positions:
Re: 0.0000 0.0000 0.0000
Sb: 0.0000 0.5000 0.0000
Sb: 0.5000 0.0000 0.0000
Te: 0.0000 0.0000 0.5000
Pt: 0.5000 0.5000 0.5000

<B>
A geometry-optimized ReSb2TePt structure. Source: Alexandria via LeMat-Bulk, functional PBEsol.

Values from the calculation:
V in Å³/f.u.: 133.8
Symmetry: P4/mmm
Total magnetic moment in μB per cell: 2.74

Cell lengths 5.0529, 5.0529, 5.2386 Å; angles 90.00, 90.00, 90.00 degrees
Fractional positions:
Re: 0.0000 0.0000 0.0000
Sb: 0.0000 0.5000 0.5000
Sb: 0.5000 0.0000 0.5000
Te: 0.5000 0.5000 0.0000
Pt: 0.5000 0.5000 0.5000

Pick <A>: it beats the second-best structure by 38.8 kJ/mol of atoms.

<A>
A geometry-optimized TaRePt2 structure. Source: Alexandria via LeMat-Bulk, functional PBEsol.

Values from the calculation:
V in Å³/f.u.: 62.2
Symmetry: P4mm
Total magnetic moment in μB per cell: 0.00

Cell lengths 3.3150, 3.3150, 5.6579 Å; angles 90.00, 90.00, 90.00 degrees
Fractional positions:
Ta: 0.0000 0.0000 0.0000
Re: 0.5000 0.5000 0.7291
Pt: 0.0000 0.0000 0.5000
Pt: 0.5000 0.5000 0.2444

<B>
A geometry-optimized TaRePt2 structure. Source: Alexandria via LeMat-Bulk, functional PBEsol.

Values from the calculation:
V in Å³/f.u.: 60.7
Symmetry: Cmmm
Total magnetic moment in μB per cell: 0.00

Cell lengths 4.9170, 4.9170, 2.7215 Å; angles 90.00, 90.00, 112.60 degrees
Fractional positions:
Ta: 0.0000 0.0000 0.0000
Re: 0.5000 0.5000 0.0000
Pt: 0.0000 0.5000 0.5000
Pt: 0.5000 0.0000 0.5000

Pick <B>: it beats the second-best structure by 9.6 kJ/mol of atoms.

<A>
A geometry-optimized ReTe2Pt structure. Source: Alexandria via LeMat-Bulk, functional PBEsol.

Values from the calculation:
V in Å³/f.u.: 76.8
Symmetry: C2/m
Total magnetic moment in μB per cell: 0.00

Cell lengths 4.5782, 4.5782, 5.5479 Å; angles 101.01, 101.01, 42.43 degrees
Fractional positions:
Re: 0.0000 0.0000 0.0000
Te: 0.2659 0.2659 0.7613
Te: 0.7341 0.7341 0.2387
Pt: 0.5000 0.5000 0.5000

<B>
A geometry-optimized ReTe2Pt structure. Source: Alexandria via LeMat-Bulk, functional PBEsol.

Values from the calculation:
V in Å³/f.u.: 83.5
Symmetry: P4mm
Total magnetic moment in μB per cell: 0.00

Cell lengths 3.1170, 3.1170, 8.5968 Å; angles 90.00, 90.00, 90.00 degrees
Fractional positions:
Re: 0.0000 0.0000 0.0000
Te: 0.0000 0.0000 0.5796
Te: 0.5000 0.5000 0.1883
Pt: 0.5000 0.5000 0.7998

Pick <B>: it beats the second-best structure by 18.3 kJ/mol of atoms.

<A>
A geometry-optimized Ti2RePt structure. Source: Alexandria via LeMat-Bulk, functional PBEsol.

Values from the calculation:
V in Å³/f.u.: 59.7
Symmetry: P4/mmm
Total magnetic moment in μB per cell: 0.00

Cell lengths 3.1405, 3.1405, 6.0490 Å; angles 90.00, 90.00, 90.00 degrees
Fractional positions:
Ti: 0.0000 0.0000 0.2420
Ti: 0.0000 0.0000 0.7580
Re: 0.5000 0.5000 0.0000
Pt: 0.5000 0.5000 0.5000

<B>
A geometry-optimized Ti2RePt structure. Source: Alexandria via LeMat-Bulk, functional PBEsol.

Values from the calculation:
V in Å³/f.u.: 59.3
Symmetry: Fm-3m
Total magnetic moment in μB per cell: 0.00

Cell lengths 4.3779, 4.3779, 4.3779 Å; angles 60.00, 60.00, 60.00 degrees
Fractional positions:
Ti: 0.2500 0.2500 0.2500
Ti: 0.7500 0.7500 0.7500
Re: 0.0000 0.0000 0.0000
Pt: 0.5000 0.5000 0.5000

Pick <A>: it beats the second-best structure by 6.2 kJ/mol of atoms.

<A>
A geometry-optimized TlRe2Pt structure. Source: Alexandria via LeMat-Bulk, functional PBEsol.

Values from the calculation:
V in Å³/f.u.: 64.8
Symmetry: P4/mmm
Total magnetic moment in μB per cell: 0.00

Cell lengths 2.7868, 2.7868, 8.3382 Å; angles 90.00, 90.00, 90.00 degrees
Fractional positions:
Tl: 0.0000 0.0000 0.0000
Re: 0.5000 0.5000 0.2698
Re: 0.5000 0.5000 0.7302
Pt: 0.0000 0.0000 0.5000

<B>
A geometry-optimized TlRe2Pt structure. Source: Alexandria via LeMat-Bulk, functional PBEsol.

Values from the calculation:
V in Å³/f.u.: 64.7
Symmetry: Cmmm
Total magnetic moment in μB per cell: 0.00

Cell lengths 5.0253, 5.0253, 2.8347 Å; angles 90.00, 90.00, 115.42 degrees
Fractional positions:
Tl: 0.0000 0.0000 0.0000
Re: 0.0000 0.5000 0.5000
Re: 0.5000 0.0000 0.5000
Pt: 0.5000 0.5000 0.0000

<C>
A geometry-optimized TlRe2Pt structure. Source: Alexandria via LeMat-Bulk, functional PBEsol.

Values from the calculation:
V in Å³/f.u.: 63.9
Symmetry: I-4m2
Total magnetic moment in μB per cell: 0.00

Cell lengths 4.8558, 4.8558, 4.8558 Å; angles 130.96, 130.96, 71.87 degrees
Fractional positions:
Tl: 0.0000 0.0000 0.0000
Re: 0.2500 0.7500 0.5000
Re: 0.5000 0.5000 0.0000
Pt: 0.7500 0.2500 0.5000

Pick <C>: it beats the second-best structure by 9.8 kJ/mol of atoms.